The following is a DFT calculation (SCAN) of YBeB3 at its PBEsol-relaxed geometry.

As for the formation energy: 260.3 kJ per mole of atoms. As for the raw total energy: -8.1989 eV per atom.

It has space group Pm-3m (No. 221), with a = 4.460 Å, b = 4.460 Å, c = 4.460 Å, α = 90.00°, β = 90.00° and γ = 90.00°. The asymmetric unit holds Y at (0.000, 0.000, 0.000), Be at (0.500, 0.500, 0.500) and B at (0.000, 0.000, 0.500).